Entry 1:
DFT (PBE-GGA) results for GdCdCuRu after structural relaxation.

Unit cell a=4.7350 b=4.7350 c=4.7350 alpha=60.00 beta=60.00 gamma=60.00
Closest atoms and distances in Å follow each position.
Sites, in units of the cell vectors:
1 Ru 0.7500 0.7500 0.7500  4 Cd 2.90, 4 Gd 2.90
2 Gd 0.5000 0.5000 0.5000  4 Cu 2.90, 4 Ru 2.90
3 Cu 0.2500 0.2500 0.2500  4 Gd 2.90, 4 Cd 2.90
4 Cd 0.0000 0.0000 0.0000  4 Ru 2.90, 4 Cu 2.90

Size of the total moment   1.75 μB per atom
Formation enthalpy at 0 K   -14 meV/atom
Space-group type   No. 216
V   18.77 A^3/atom

Entry 2:
DFT (PBE-GGA) results for LuMgAlAu after structural relaxation.

Unit cell a=4.8462 b=4.8462 c=4.8462 alpha=60.00 beta=60.00 gamma=60.00
Closest atoms and distances in Å follow each position.
Sites, in units of the cell vectors:
1 Mg 0.2500 0.2500 0.2500  4 Al 2.97, 4 Au 2.97
2 Lu 0.7500 0.7500 0.7500  4 Al 2.97, 4 Au 2.97
3 Au 0.0000 0.0000 0.0000  4 Mg 2.97, 4 Lu 2.97
4 Al 0.5000 0.5000 0.5000  4 Lu 2.97, 4 Mg 2.97

Size of the total moment   0.00 μB per atom
Formation enthalpy at 0 K   -504 meV/atom
Space-group type   No. 216
V   20.12 A^3/atom

Entry 3:
DFT (PBE-GGA) results for Fe3Ir4Os2 after structural relaxation.

Unit cell a=2.7036 b=4.6583 c=10.2606 alpha=89.70 beta=82.43 gamma=73.13
Closest atoms and distances in Å follow each position.
Sites, in units of the cell vectors:
1 Ir 0.6670 0.5550 0.1110  6 Ir 2.66-2.73, 3 Fe 2.68, 3 Os 2.69-2.70
2 Ir 0.9952 0.6687 0.3410  5 Fe 2.60-2.68, 3 Os 2.68-2.72, 4 Ir 2.70-2.73
3 Ir 0.0048 0.3313 0.6590  5 Fe 2.60-2.68, 3 Os 2.68-2.72, 4 Ir 2.70-2.73
4 Ir 0.3330 0.4450 0.8890  6 Ir 2.66-2.73, 3 Fe 2.68, 3 Os 2.69-2.70
5 Os 0.3333 0.1081 0.2253  4 Fe 2.64-2.69, 6 Ir 2.68-2.72, 2 Os 2.70
6 Os 0.6667 0.8919 0.7747  4 Fe 2.64-2.69, 6 Ir 2.68-2.72, 2 Os 2.70
7 Fe 0.0000 0.0000 0.0000  6 Ir 2.68, 4 Os 2.69, 2 Fe 2.70
8 Fe 0.6691 0.2167 0.4451  5 Ir 2.60-2.68, 5 Fe 2.64-2.73, 2 Os 2.64
9 Fe 0.3309 0.7833 0.5549  5 Ir 2.60-2.68, 5 Fe 2.64-2.73, 2 Os 2.64

Size of the total moment   0.76 μB per atom
Formation enthalpy at 0 K   22 meV/atom
Space-group type   No. 12
V   13.61 A^3/atom

Entry 4:
DFT (PBE-GGA) results for NpInIr after structural relaxation.

Unit cell a=3.1294 b=3.1294 c=6.6480 alpha=103.61 beta=103.61 gamma=90.00
Closest atoms and distances in Å follow each position.
Sites, in units of the cell vectors:
1 Np 0.6846 0.6846 0.3693  4 Ir 2.90, 4 Np 3.13
2 Ir 0.3338 0.3338 0.6676  4 In 2.89, 4 Np 2.90, 4 Ir 3.13
3 In 0.9816 0.9816 0.9631  4 Ir 2.89, 4 In 3.13

Size of the total moment   1.26 μB per atom
Formation enthalpy at 0 K   -106 meV/atom
Space-group type   No. 107
V   20.46 A^3/atom

Entry 5:
DFT (PBE-GGA) results for LaAlRe2 after structural relaxation.

Unit cell a=3.1121 b=3.1121 c=7.8409 alpha=90.00 beta=90.00 gamma=90.00
Closest atoms and distances in Å follow each position.
Sites, in units of the cell vectors:
1 Al 0.0000 0.0000 0.4434  5 Re 2.73-3.01
2 Re 0.5000 0.5000 0.2384  4 Re 2.61, 4 Al 2.73
3 Re 0.0000 0.0000 0.0596  4 Re 2.61
4 La 0.5000 0.5000 0.7586  4 La 3.11, 4 Re 3.23, 4 Al 3.31

Size of the total moment   0.00 μB per atom
Formation enthalpy at 0 K   -59 meV/atom
Space-group type   No. 99
V   18.98 A^3/atom

Entry 6:
DFT (PBE-GGA) results for Gd2ClF after structural relaxation.

Unit cell a=3.6300 b=3.6300 c=9.1078 alpha=78.50 beta=78.50 gamma=60.00
Closest atoms and distances in Å follow each position.
Sites, in units of the cell vectors:
1 Gd 0.9174 0.9174 0.2479  1 F 2.20
2 Gd 0.0826 0.0826 0.7521  1 F 2.20
3 Cl 0.5000 0.5000 0.5000  6 Gd 3.06
4 F 0.0000 0.0000 0.0000  2 Gd 2.20

Size of the total moment   3.50 μB per atom
Formation energy from raw total energies   -1.828 eV/atom
Space-group type   No. 166
V   25.29 A^3/atom

Entry 7:
DFT (PBE-GGA) results for Cu3OsO after structural relaxation.

Unit cell a=4.6143 b=4.6143 c=4.6143 alpha=90.00 beta=90.00 gamma=90.00
Closest atoms and distances in Å follow each position.
Sites, in units of the cell vectors:
1 Cu 0.5000 0.0000 0.0000  2 Os 2.31
2 Cu 0.0000 0.0000 0.5000  2 Os 2.31
3 Cu 0.0000 0.5000 0.0000  2 Os 2.31
4 Os 0.0000 0.0000 0.0000  6 Cu 2.31
5 O 0.5000 0.5000 0.5000  12 Cu 3.26

Size of the total moment   0.16 μB per atom
Formation energy from raw total energies   1.891 eV/atom
Space-group type   No. 221
V   19.65 A^3/atom

Entry 8:
DFT (PBE-GGA) results for Rb2U2PaTe6 after structural relaxation.

Unit cell a=7.6209 b=7.6209 c=9.2800 alpha=97.96 beta=97.96 gamma=119.97
Closest atoms and distances in Å follow each position.
Sites, in units of the cell vectors:
1 Te 0.3987 0.0710 0.7023  1 Pa 3.09, 2 U 3.12-3.13
2 Te 0.0710 0.3987 0.7023  1 Pa 3.09, 2 U 3.12-3.13
3 Te 0.2654 0.2654 0.2996  1 Pa 3.10, 2 U 3.12
4 Te 0.6013 0.9290 0.2977  1 Pa 3.09, 2 U 3.12-3.13
5 Te 0.9290 0.6013 0.2977  1 Pa 3.09, 2 U 3.12-3.13
6 Te 0.7346 0.7346 0.7004  1 Pa 3.10, 2 U 3.12
7 U 0.6678 0.3322 0.5000  6 Te 3.12-3.13
8 U 0.3322 0.6678 0.5000  6 Te 3.12-3.13
9 Rb 0.1667 0.8333 0.0000  6 Te 3.68-3.69
10 Rb 0.8333 0.1667 0.0000  6 Te 3.68-3.69
11 Pa 0.0000 0.0000 0.5000  6 Te 3.09-3.10

Size of the total moment   0.64 μB per atom
Formation energy from raw total energies   -0.851 eV/atom
Space-group type   No. 12
V   40.79 A^3/atom